No. 1
# Pm2ErBr2N2

An optimized crystal structure of Pm2ErBr2N2 (PBE, Alexandria).

Unit cell a=4.440 b=4.440 c=8.995 alpha=104.29 beta=104.29 gamma=90.00
Each line ends with the local moment (μB).
Sites, in units of the cell vectors:
Er (0.000, 0.000, 0.000)  0.02
Br (0.827, 0.827, 0.654)  0.01
N (0.000, 0.500, 0.000)  -0.02
N (0.500, 0.000, 0.000)  -0.02
Br (0.173, 0.173, 0.346)  0.01
Pm (0.413, 0.413, 0.826)  0.35
Pm (0.587, 0.587, 0.174)  0.35

Properties
For the total energy, the calculation gives -6.257 eV per atom. As for the magnetization: 0.98 Bohr magnetons per cell. The calculation puts the density of states at the Fermi level at 1.611 states/eV/f.u.


No. 2
# Pr2ErBr2N2

An optimized crystal structure of Pr2ErBr2N2 (PBE, Alexandria).

Unit cell a=4.470 b=4.470 c=9.025 alpha=104.34 beta=104.34 gamma=90.00
Each line ends with the local moment (μB).
Sites, in units of the cell vectors:
Pr (0.411, 0.411, 0.823)  0.33
Er (0.000, 0.000, 0.000)  0.02
Pr (0.589, 0.589, 0.177)  0.33
N (0.000, 0.500, 0.000)  -0.02
Br (0.174, 0.174, 0.347)  0.01
Br (0.826, 0.826, 0.653)  0.01
N (0.500, 0.000, 0.000)  -0.02

Properties
For the total energy, the calculation gives -6.283 eV per atom. As for the magnetization: 0.98 Bohr magnetons per cell. The calculation puts the density of states at the Fermi level at 1.509 states/eV/f.u.


No. 3
# Na2ErBr6

An optimized crystal structure of Na2ErBr6 (PBE, Alexandria).

Unit cell a=6.899 b=6.899 c=13.089 alpha=90.00 beta=90.00 gamma=90.00
Each line ends with the local moment (μB).
Sites, in units of the cell vectors:
Br (0.805, 0.195, 0.154)  0.10
Na (0.500, 0.500, 0.169)  0.00
Br (0.805, 0.195, 0.846)  0.10
Br (0.715, 0.715, 0.000)  0.13
Er (0.500, 0.500, 0.500)  -0.02
Br (0.195, 0.805, 0.154)  0.10
Br (0.785, 0.215, 0.500)  0.13
Br (0.215, 0.785, 0.500)  0.13
Na (0.000, 0.000, 0.669)  0.00
Br (0.305, 0.305, 0.346)  0.10
Na (0.500, 0.500, 0.831)  0.00
Er (0.000, 0.000, 0.000)  -0.02
Br (0.695, 0.695, 0.654)  0.10
Br (0.285, 0.285, 0.000)  0.13
Br (0.305, 0.305, 0.654)  0.10
Br (0.695, 0.695, 0.346)  0.10
Br (0.195, 0.805, 0.846)  0.10
Na (0.000, 0.000, 0.331)  0.00

Properties
For the total energy, the calculation gives -3.334 eV per atom. As for the magnetization: 1.74 Bohr magnetons per cell. The calculation puts the density of states at the Fermi level at 14.010 states/eV/f.u.


No. 4
# Na3ErBr6

An optimized crystal structure of Na3ErBr6 (PBE, Alexandria).

Unit cell a=7.757 b=7.281 c=13.150 alpha=55.59 beta=90.00 gamma=90.00
Sites, in units of the cell vectors:
Br (0.681, 0.248, 0.564)
Br (0.065, 0.380, 0.764)
Br (0.819, 0.248, 0.064)
Br (0.565, 0.620, 0.736)
Br (0.181, 0.752, 0.936)
Br (0.301, 0.087, 0.082)
Br (0.699, 0.913, 0.918)
Na (0.584, 0.765, 0.265)
Br (0.801, 0.913, 0.418)
Er (0.000, 0.000, 0.000)
Br (0.319, 0.752, 0.436)
Na (0.500, 0.500, 0.000)
Na (0.916, 0.765, 0.765)
Br (0.435, 0.380, 0.264)
Na (0.416, 0.235, 0.735)
Na (0.084, 0.235, 0.235)
Br (0.935, 0.620, 0.236)
Na (0.000, 0.500, 0.500)
Er (0.500, 0.000, 0.500)
Br (0.199, 0.087, 0.582)

Properties
For the total energy, the calculation gives -3.530 eV per atom. As for the magnetization: 0.00 Bohr magnetons per cell. The calculation puts the density of states at the Fermi level at 0.000 states/eV/f.u.


No. 5
# NaErBr2

An optimized crystal structure of NaErBr2 (PBE, Alexandria).

Unit cell a=4.011 b=4.011 c=9.337 alpha=77.60 beta=77.60 gamma=60.00
Sites, in units of the cell vectors:
Br (0.101, 0.101, 0.696)
Br (0.899, 0.899, 0.304)
Na (0.500, 0.500, 0.500)
Er (0.000, 0.000, 0.000)

Properties
For the total energy, the calculation gives -3.470 eV per atom. As for the magnetization: 0.00 Bohr magnetons per cell. The calculation puts the density of states at the Fermi level at 0.534 states/eV/f.u.


No. 6
# Na2Er2Br7

An optimized crystal structure of Na2Er2Br7 (PBE, Alexandria).

Unit cell a=7.496 b=7.496 c=7.022 alpha=87.88 beta=87.88 gamma=70.66
Each line ends with the local moment (μB).
Sites, in units of the cell vectors:
Br (0.000, 0.000, 0.500)  0.01
Br (0.090, 0.504, 0.261)  0.01
Br (0.910, 0.496, 0.739)  0.01
Br (0.496, 0.910, 0.739)  0.01
Na (0.744, 0.256, 0.000)  0.01
Er (0.231, 0.231, 0.566)  0.14
Na (0.256, 0.744, 0.000)  0.01
Br (0.504, 0.090, 0.261)  0.01
Br (0.578, 0.578, 0.252)  0.00
Br (0.422, 0.422, 0.748)  0.00
Er (0.769, 0.769, 0.434)  0.14

Properties
For the total energy, the calculation gives -3.679 eV per atom. As for the magnetization: 0.73 Bohr magnetons per cell. The calculation puts the density of states at the Fermi level at 2.247 states/eV/f.u.


No. 7
# NaErBr3

An optimized crystal structure of NaErBr3 (PBE, Alexandria).

Unit cell a=6.634 b=7.849 c=7.849 alpha=120.05 beta=89.99 gamma=90.01
Sites, in units of the cell vectors:
Na (0.250, 0.333, 0.667)
Br (0.250, 0.831, 0.169)
Br (0.250, 0.831, 0.661)
Na (0.750, 0.667, 0.333)
Br (0.250, 0.339, 0.169)
Br (0.750, 0.169, 0.339)
Er (0.000, 0.000, 0.000)
Br (0.750, 0.661, 0.831)
Br (0.750, 0.169, 0.831)
Er (0.500, 0.000, 0.000)

Properties
For the total energy, the calculation gives -3.595 eV per atom. As for the magnetization: 0.00 Bohr magnetons per cell. The calculation puts the density of states at the Fermi level at 1.442 states/eV/f.u.


No. 8
# NaErSnBr6

An optimized crystal structure of NaErSnBr6 (PBE, Alexandria).

Unit cell a=7.331 b=7.331 c=13.016 alpha=90.00 beta=90.00 gamma=120.00
Sites, in units of the cell vectors:
Er (0.333, 0.667, 0.750)
Sn (0.000, 0.000, 0.000)
Br (0.980, 0.335, 0.127)
Br (0.645, 0.665, 0.627)
Na (0.667, 0.333, 0.750)
Er (0.667, 0.333, 0.250)
Br (0.020, 0.665, 0.873)
Br (0.020, 0.355, 0.627)
Br (0.645, 0.980, 0.873)
Sn (0.000, 0.000, 0.500)
Br (0.355, 0.020, 0.127)
Na (0.333, 0.667, 0.250)
Br (0.335, 0.980, 0.627)
Br (0.665, 0.020, 0.373)
Br (0.665, 0.645, 0.127)
Br (0.980, 0.645, 0.373)
Br (0.335, 0.355, 0.873)
Br (0.355, 0.335, 0.373)

Properties
For the total energy, the calculation gives -3.625 eV per atom. As for the magnetization: 0.00 Bohr magnetons per cell. The calculation puts the density of states at the Fermi level at 0.000 states/eV/f.u.


No. 9
# NaSrErBr6

An optimized crystal structure of NaSrErBr6 (PBE, Alexandria).

Unit cell a=7.515 b=7.515 c=13.137 alpha=90.00 beta=90.00 gamma=120.00
Sites, in units of the cell vectors:
Br (0.363, 0.028, 0.128)
Er (0.333, 0.667, 0.750)
Er (0.667, 0.333, 0.250)
Br (0.665, 0.637, 0.128)
Br (0.363, 0.335, 0.372)
Na (0.000, 0.000, 0.000)
Na (0.000, 0.000, 0.500)
Br (0.972, 0.335, 0.128)
Br (0.028, 0.363, 0.628)
Br (0.972, 0.637, 0.372)
Sr (0.333, 0.667, 0.250)
Br (0.637, 0.972, 0.872)
Br (0.335, 0.363, 0.872)
Br (0.028, 0.665, 0.872)
Br (0.665, 0.028, 0.372)
Br (0.335, 0.972, 0.628)
Br (0.637, 0.665, 0.628)
Sr (0.667, 0.333, 0.750)

Properties
For the total energy, the calculation gives -3.835 eV per atom. As for the magnetization: 0.00 Bohr magnetons per cell. The calculation puts the density of states at the Fermi level at 0.000 states/eV/f.u.


No. 10
# Na2ErTlBr6

An optimized crystal structure of Na2ErTlBr6 (PBE, Alexandria).

Unit cell a=7.582 b=7.582 c=8.201 alpha=62.46 beta=62.45 gamma=59.97
Sites, in units of the cell vectors:
Br (0.248, 0.947, 0.233)
Br (0.718, 0.148, 0.764)
Tl (0.809, 0.809, 0.573)
Br (0.572, 0.249, 0.233)
Br (0.148, 0.371, 0.764)
Er (0.327, 0.326, 0.020)
Na (0.519, 0.519, 0.442)
Na (0.004, 0.004, 0.988)
Br (0.371, 0.717, 0.764)
Br (0.947, 0.572, 0.233)

Properties
For the total energy, the calculation gives -3.506 eV per atom. As for the magnetization: 0.00 Bohr magnetons per cell. The calculation puts the density of states at the Fermi level at 0.000 states/eV/f.u.


No. 11
# Nd2ErBr

An optimized crystal structure of Nd2ErBr (PBE, Alexandria).

Unit cell a=3.702 b=3.702 c=10.792 alpha=80.12 beta=80.12 gamma=60.00
Sites, in units of the cell vectors:
Nd (0.743, 0.743, 0.771)
Br (0.000, 0.000, 0.000)
Er (0.500, 0.500, 0.500)
Nd (0.257, 0.257, 0.229)

Properties
The energy above the most stable polymorph in this dataset is 0 meV/atom. As for the magnetization: 0.00 Bohr magnetons per cell. The calculation puts the density of states at the Fermi level at 4.158 states/eV/f.u.


No. 12
# Nd2ErBr

An optimized crystal structure of Nd2ErBr (PBE, Alexandria).

Unit cell a=3.589 b=3.589 c=9.664 alpha=90.00 beta=90.00 gamma=90.00
Sites, in units of the cell vectors:
Nd (0.000, 0.000, 0.236)
Nd (0.000, 0.000, 0.764)
Er (0.500, 0.500, 0.500)
Br (0.500, 0.500, 0.000)

Properties
The energy above the most stable polymorph in this dataset is 73 meV/atom. As for the magnetization: 0.00 Bohr magnetons per cell. The calculation puts the density of states at the Fermi level at 3.630 states/eV/f.u.


No. 13
# NdErBr

An optimized crystal structure of NdErBr (PBE, Alexandria).

Unit cell a=3.652 b=6.327 c=15.693 alpha=97.75 beta=103.49 gamma=30.02
Sites, in units of the cell vectors:
Er (0.869, 0.489, 0.141)
Er (0.239, 0.031, 0.324)
Br (0.154, 0.392, 0.781)
Nd (0.487, 0.949, 0.950)
Br (0.541, 0.264, 0.475)
Nd (0.848, 0.828, 0.629)

Properties
The energy above the most stable polymorph in this dataset is 0 meV/atom. As for the magnetization: 0.00 Bohr magnetons per cell. The calculation puts the density of states at the Fermi level at 2.798 states/eV/f.u.


No. 14
# NdErBr

An optimized crystal structure of NdErBr (PBE, Alexandria).

Unit cell a=3.856 b=5.254 c=5.254 alpha=120.00 beta=90.00 gamma=90.00
Sites, in units of the cell vectors:
Nd (0.744, 0.667, 0.333)
Br (0.047, 0.000, 0.000)
Er (0.209, 0.333, 0.667)

Properties
The energy above the most stable polymorph in this dataset is 464 meV/atom. As for the magnetization: 0.00 Bohr magnetons per cell. The calculation puts the density of states at the Fermi level at 1.824 states/eV/f.u.


No. 15
# NdErBr2

An optimized crystal structure of NdErBr2 (PBE, Alexandria).

Unit cell a=3.725 b=3.725 c=10.293 alpha=79.57 beta=79.57 gamma=60.00
Sites, in units of the cell vectors:
Br (0.094, 0.094, 0.718)
Br (0.906, 0.906, 0.282)
Nd (0.500, 0.500, 0.500)
Er (0.000, 0.000, 0.000)

Properties
For the total energy, the calculation gives -4.218 eV per atom. As for the magnetization: 0.00 Bohr magnetons per cell. The calculation puts the density of states at the Fermi level at 1.683 states/eV/f.u.


No. 16
# NdErRhBr

An optimized crystal structure of NdErRhBr (PBE, Alexandria).

Unit cell a=4.027 b=4.026 c=8.139 alpha=89.99 beta=104.33 gamma=120.01
Sites, in units of the cell vectors:
Nd (0.507, 0.152, 0.674)
Br (0.963, 0.380, 0.357)
Er (0.098, 0.947, 0.060)
Rh (0.310, 0.553, 0.878)

Properties
For the total energy, the calculation gives -5.653 eV per atom. As for the magnetization: 0.00 Bohr magnetons per cell. The calculation puts the density of states at the Fermi level at 0.253 states/eV/f.u.


No. 17
# Er3NiBr3

An optimized crystal structure of Er3NiBr3 (PBE, Alexandria).

Unit cell a=3.924 b=8.553 c=11.533 alpha=92.12 beta=90.00 gamma=90.00
Each line ends with the local moment (μB).
Sites, in units of the cell vectors:
Br (0.750, 0.647, 0.137)  0.00
Er (0.250, 0.897, 0.169)  0.09
Ni (0.250, 0.924, 0.399)  0.04
Br (0.750, 0.136, 0.103)  0.00
Er (0.250, 0.286, 0.610)  0.01
Br (0.250, 0.864, 0.897)  0.00
Br (0.250, 0.414, 0.369)  0.00
Ni (0.750, 0.076, 0.601)  0.04
Er (0.750, 0.131, 0.368)  0.02
Br (0.750, 0.586, 0.631)  0.00
Er (0.250, 0.869, 0.632)  0.02
Er (0.750, 0.714, 0.390)  0.01
Br (0.250, 0.353, 0.863)  0.00
Er (0.750, 0.103, 0.831)  0.09

Properties
For the total energy, the calculation gives -4.684 eV per atom. As for the magnetization: 0.44 Bohr magnetons per cell. The calculation puts the density of states at the Fermi level at 4.322 states/eV/f.u.


No. 18
# Er4NiBr5

An optimized crystal structure of Er4NiBr5 (PBE, Alexandria).

Unit cell a=3.900 b=8.381 c=9.426 alpha=102.10 beta=101.94 gamma=90.00
Sites, in units of the cell vectors:
Er (0.001, 0.211, 0.002)
Br (0.821, 0.159, 0.642)
Br (0.168, 0.334, 0.337)
Er (0.999, 0.789, 0.998)
Br (0.500, 0.500, 0.000)
Er (0.644, 0.075, 0.289)
Ni (0.500, 0.000, 0.000)
Br (0.832, 0.666, 0.663)
Er (0.356, 0.925, 0.711)
Br (0.179, 0.841, 0.358)

Properties
The energy above the most stable polymorph in this dataset is 0 meV/atom. As for the magnetization: 0.00 Bohr magnetons per cell. The calculation puts the density of states at the Fermi level at 3.081 states/eV/f.u.


No. 19
# Er4NiBr5

An optimized crystal structure of Er4NiBr5 (PBE, Alexandria).

Unit cell a=3.892 b=8.354 c=10.699 alpha=89.66 beta=100.48 gamma=90.00
Sites, in units of the cell vectors:
Br (0.847, 0.762, 0.694)
Er (0.377, 0.002, 0.755)
Er (0.000, 0.788, 0.000)
Er (0.000, 0.212, 0.000)
Ni (0.500, 0.000, 0.000)
Br (0.847, 0.242, 0.695)
Br (0.153, 0.758, 0.305)
Br (0.153, 0.238, 0.306)
Er (0.623, 0.998, 0.245)
Br (0.500, 0.500, 0.000)

Properties
The energy above the most stable polymorph in this dataset is 28 meV/atom. As for the magnetization: 0.00 Bohr magnetons per cell. The calculation puts the density of states at the Fermi level at 2.576 states/eV/f.u.


No. 20
# Er7NiBr12

An optimized crystal structure of Er7NiBr12 (PBE, Alexandria).

Unit cell a=9.092 b=9.092 c=9.092 alpha=107.38 beta=107.38 gamma=107.38
Each line ends with the local moment (μB).
Sites, in units of the cell vectors:
Er (0.030, 0.308, 0.105)  0.03
Er (0.105, 0.030, 0.308)  0.03
Br (0.073, 0.679, 0.221)  0.00
Er (0.308, 0.105, 0.030)  0.03
Ni (0.000, 0.000, 0.000)  0.04
Br (0.837, 0.609, 0.529)  0.00
Br (0.221, 0.073, 0.679)  0.00
Br (0.609, 0.529, 0.837)  0.00
Er (0.692, 0.895, 0.970)  0.03
Br (0.679, 0.221, 0.073)  0.00
Er (0.895, 0.970, 0.692)  0.03
Br (0.391, 0.471, 0.163)  0.00
Er (0.500, 0.500, 0.500)  0.24
Br (0.779, 0.927, 0.321)  0.00
Er (0.970, 0.692, 0.895)  0.03
Br (0.927, 0.321, 0.779)  0.00
Br (0.321, 0.779, 0.927)  0.00
Br (0.163, 0.391, 0.471)  0.00
Br (0.529, 0.837, 0.609)  0.00
Br (0.471, 0.163, 0.391)  0.00

Properties
For the total energy, the calculation gives -4.433 eV per atom. As for the magnetization: 0.77 Bohr magnetons per cell. The calculation puts the density of states at the Fermi level at 4.762 states/eV/f.u.